# Dy2YGa, optimized geometry, DFT PBE
data_Dy2YGa
_chemical_formula_sum 'Dy6 Y3 Ga3'
_symmetry_space_group_name_H-M 'R -3 m'
_symmetry_Int_Tables_number 166
_symmetry_space_group_name_Hall '-R 3 2"'
_cell_length_a 3.4951
_cell_length_b 3.4951
_cell_length_c 34.9877
_cell_angle_alpha 90.00
_cell_angle_beta 90.00
_cell_angle_gamma 120.00
loop_
_atom_site_label
_atom_site_fract_x
_atom_site_fract_y
_atom_site_fract_z
Dy1 0.0000 0.0000 0.0854
Y1 0.0000 0.0000 0.5000
Ga1 0.0000 0.0000 0.0000
# * energy above the most stable polymorph in this dataset: 425 meV per atom



# RbTbHgSe3, optimized geometry, DFT PBE
data_RbTbHgSe3
_chemical_formula_sum 'Rb2 Tb2 Hg2 Se6'
_symmetry_space_group_name_H-M 'P 1 21/m 1'
_symmetry_Int_Tables_number 11
_cell_length_a 9.150
_cell_length_b 4.300
_cell_length_c 10.436
_cell_angle_alpha 90.00
_cell_angle_beta 108.74
_cell_angle_gamma 90.00
loop_
_symmetry_equiv_pos_as_xyz
'x,y,z'
'-x,-y,-z'
'-x,y+1/2,-z'
'x,-y+1/2,z'
loop_
_atom_site_label
_atom_site_fract_x
_atom_site_fract_y
_atom_site_fract_z
Rb1 0.221 0.250 0.247
Tb1 0.328 0.750 0.865
Hg1 0.090 0.250 0.615
Se1 0.110 0.250 0.872
Se2 0.235 0.750 0.549
Se3 0.466 0.750 0.149
# * ΔE_f (raw): -7.2 eV per formula unit



# Tc3C2, optimized geometry, DFT PBE
data_Tc3C2
_chemical_formula_sum 'Tc9 C6'
_symmetry_space_group_name_H-M 'R -3 m'
_symmetry_Int_Tables_number 166
_symmetry_space_group_name_Hall '-R 3 2"'
_cell_length_a 3.1438
_cell_length_b 3.1438
_cell_length_c 20.4159
_cell_angle_alpha 90.00
_cell_angle_beta 90.00
_cell_angle_gamma 120.00
loop_
_atom_site_label
_atom_site_fract_x
_atom_site_fract_y
_atom_site_fract_z
Tc1 0.0000 0.0000 0.0000
Tc2 0.0000 0.0000 0.2264
C1 0.0000 0.0000 0.3970
# * energy above the most stable polymorph in this dataset: 205 meV per atom



# BaCoRu2, optimized geometry, DFT PBE
data_BaCoRu2
_chemical_formula_sum 'Ba1 Co1 Ru2'
_symmetry_space_group_name_H-M 'P 1 2/m 1'
_symmetry_Int_Tables_number 10
_cell_length_a 3.001
_cell_length_b 4.111
_cell_length_c 6.660
_cell_angle_alpha 90.00
_cell_angle_beta 101.21
_cell_angle_gamma 90.00
loop_
_symmetry_equiv_pos_as_xyz
'x,y,z'
'-x,-y,-z'
'-x,y,-z'
'x,-y,z'
loop_
_atom_site_label
_atom_site_fract_x
_atom_site_fract_y
_atom_site_fract_z
Ba1 0.000 0.000 0.000
Co1 0.500 0.000 0.500
Ru1 0.288 0.500 0.662
# * energy above the most stable polymorph in this dataset: 493 meV per atom



# Li2Tl2Rh, optimized geometry, DFT PBE
data_Li2Tl2Rh
_chemical_formula_sum 'Li4 Tl4 Rh2'
_symmetry_space_group_name_H-M 'P 4/m b m'
_symmetry_Int_Tables_number 127
_symmetry_space_group_name_Hall '-P 4 2ab'
_cell_length_a 7.134
_cell_length_b 7.134
_cell_length_c 3.399
_cell_angle_alpha 90.00
_cell_angle_beta 90.00
_cell_angle_gamma 90.00
loop_
_atom_site_label
_atom_site_fract_x
_atom_site_fract_y
_atom_site_fract_z
Li1 0.132 0.368 0.000
Tl1 0.171 0.671 0.500
Rh1 0.000 0.000 0.000
# * energy above the most stable polymorph in this dataset: 175 meV per atom



# Ba2SmNp3O12, optimized geometry, DFT PBE
data_Ba2SmNp3O12
_chemical_formula_sum 'Ba6 Sm3 Np9 O36'
_symmetry_space_group_name_H-M 'R -3 m'
_symmetry_Int_Tables_number 166
_symmetry_space_group_name_Hall '-R 3 2"'
_cell_length_a 7.9919
_cell_length_b 7.9919
_cell_length_c 16.5079
_cell_angle_alpha 90.00
_cell_angle_beta 90.00
_cell_angle_gamma 120.00
loop_
_atom_site_label
_atom_site_fract_x
_atom_site_fract_y
_atom_site_fract_z
Ba1 0.0000 0.0000 0.1186
Sm1 0.0000 0.0000 0.5000
Np1 0.0000 0.5000 0.0000
O1 0.0370 0.5185 0.8815
O2 0.0797 0.5399 0.3046
# * ΔE_f (raw): -52.4 eV per formula unit



no.,density (Mg/m³),total energy (eV per cell)
1,6.5,-54.31
2,5.8,-47.11
3,9.1,-142.91
4,8.2,-24.31
5,10.1,-31.55
6,7.2,-477.92